First-principles (PBE-GGA) data for an optimized crystal structure of YbSmB12, as listed in the Alexandria database.

Total DFT energy (no corrections) (eV/atom): -6.62
Energy of formation (eV per atom): -0.45

Cell: 8.2416 8.2416 8.2416 Å, 90.00 90.00 90.00°
Last column: nearest neighbours and their distance in Å.
Space group Fm-3m (No. 225)
Unique sites:
Yb: 0.0000 0.0000 0.0000 [4 per cell]  24 B 3.03
Sm: 0.0000 0.0000 0.5000 [4 per cell]  24 B 3.03
B: 0.0999 0.2500 0.2500 [48 per cell]  5 B 1.65-1.75

***

First-principles (PBE-GGA) data for an optimized crystal structure of SmZr2B6, as listed in the Alexandria database.

Total DFT energy (no corrections) (eV/atom): -7.63
Energy of formation (eV per atom): -0.75

Cell: 5.6075 5.6075 3.7025 Å, 90.00 90.00 120.00°
Last column: nearest neighbours and their distance in Å.
Space group P6/mmm (No. 191)
Unique sites:
Sm: 0.0000 0.0000 0.0000 [1 per cell]  12 B 2.66
Zr: 0.3333 0.6667 0.0000 [2 per cell]  12 B 2.62
B: 0.0000 0.3402 0.5000 [6 per cell]  3 B 1.79-1.91

***

First-principles (PBE-GGA) data for an optimized crystal structure of SmZrB12, as listed in the Alexandria database.

Total DFT energy (no corrections) (eV/atom): -6.91
Energy of formation (eV per atom): -0.24

Cell: 4.0905 4.0905 8.1641 Å, 90.00 90.00 90.00°
Last column: nearest neighbours and their distance in Å.
Space group P4/mmm (No. 123)
Unique sites:
Sm: 0.0000 0.0000 0.0000 [1 per cell]  24 B 3.01-3.02
Zr: 0.0000 0.0000 0.5000 [1 per cell]  24 B 2.99-3.00
B: 0.1983 0.5000 0.2527 [8 per cell]  5 B 1.62-1.75
B: 0.5000 0.5000 0.1007 [2 per cell]  5 B 1.64-1.75
B: 0.5000 0.5000 0.4022 [2 per cell]  5 B 1.60-1.74

***

First-principles (PBE-GGA) data for an optimized crystal structure of Sn4B, as listed in the Alexandria database.

Total DFT energy (no corrections) (eV/atom): -4.03
Energy of formation (eV per atom): 0.51

Cell: 4.9079 4.9079 4.9079 Å, 90.00 90.00 90.00°
Last column: nearest neighbours and their distance in Å.
Space group Pm-3m (No. 221)
Unique sites:
Sn: 0.0000 0.0000 0.0000 [1 per cell]  12 Sn 3.47
Sn: 0.0000 0.5000 0.5000 [3 per cell]  2 B 2.45
B: 0.5000 0.5000 0.5000 [1 per cell]  6 Sn 2.45

***

First-principles (PBE-GGA) data for an optimized crystal structure of SrSn2B, as listed in the Alexandria database.

Total DFT energy (no corrections) (eV/atom): -3.97
Energy of formation (eV per atom): 0.12

Cell: 7.8793 7.8793 6.2569 Å, 90.00 90.00 90.00°
Last column: nearest neighbours and their distance in Å.
Space group I-42d (No. 122)
Unique sites:
Sr: 0.0000 0.0000 0.0000 [4 per cell]  2 B 3.13, 8 Sn 3.30-3.43
Sn: 0.1570 0.2500 0.6250 [8 per cell]  2 B 2.45
B: 0.0000 0.0000 0.5000 [4 per cell]  4 Sn 2.45

***

First-principles (PBE-GGA) data for an optimized crystal structure of Sr2SnB2, as listed in the Alexandria database.

Total DFT energy (no corrections) (eV/atom): -3.47
Energy of formation (eV per atom): 0.67

Cell: 3.2926 3.2926 19.8311 Å, 90.00 90.00 90.00°
Last column: nearest neighbours and their distance in Å.
Space group I4/mmm (No. 139)
Unique sites:
Sr: 0.0000 0.0000 0.1275 [4 per cell]  4 B 2.93
Sn: 0.0000 0.0000 0.5000 [2 per cell]  4 Sn 3.29, 8 Sr 3.44
B: 0.0000 0.5000 0.2500 [4 per cell]  4 B 2.33

***

First-principles (PBE-GGA) data for an optimized crystal structure of SrSnB2, as listed in the Alexandria database.

Total DFT energy (no corrections) (eV/atom): -4.02
Energy of formation (eV per atom): 0.74

Cell: 4.5898 4.5898 15.6618 Å, 90.00 90.00 90.00°
Last column: nearest neighbours and their distance in Å.
Space group I4_1/amd (No. 141, origin choice 2)
Unique sites:
Sr: 0.0000 0.2500 0.3750 [4 per cell]  8 B 3.23, 4 Sn 3.25
Sn: 0.0000 0.2500 0.8750 [4 per cell]  4 B 2.27
B: 0.0000 0.0000 0.0000 [8 per cell]  2 Sn 2.27, 2 B 2.29

***

First-principles (PBE-GGA) data for an optimized crystal structure of SrSn3B, as listed in the Alexandria database.

Total DFT energy (no corrections) (eV/atom): -2.28
Energy of formation (eV per atom): 1.80
E above lowest polymorph (eV per formula unit): 7.721

Cell: 6.0302 6.0302 6.0302 Å, 90.00 90.00 90.00°
Last column: nearest neighbours and their distance in Å.
Space group Pm-3m (No. 221)
Unique sites:
Sr: 0.0000 0.0000 0.0000 [1 per cell]  6 Sn 3.02
Sn: 0.0000 0.0000 0.5000 [3 per cell]  2 Sr 3.02
B: 0.5000 0.5000 0.5000 [1 per cell]  12 Sn 4.26

***

First-principles (PBE-GGA) data for an optimized crystal structure of SrSn3B, as listed in the Alexandria database.

Total DFT energy (no corrections) (eV/atom): -3.82
Energy of formation (eV per atom): 0.25
E above lowest polymorph (eV per formula unit): 0.000

Cell: 5.0605 5.0605 5.0605 Å, 90.00 90.00 90.00°
Last column: nearest neighbours and their distance in Å.
Space group Pm-3m (No. 221)
Unique sites:
Sr: 0.0000 0.0000 0.0000 [1 per cell]  12 Sn 3.58
Sn: 0.0000 0.5000 0.5000 [3 per cell]  2 B 2.53
B: 0.5000 0.5000 0.5000 [1 per cell]  6 Sn 2.53

***

First-principles (PBE-GGA) data for an optimized crystal structure of SrSnB12, as listed in the Alexandria database.

Total DFT energy (no corrections) (eV/atom): -6.27
Energy of formation (eV per atom): -0.14

Cell: 8.4040 8.4040 8.4040 Å, 90.00 90.00 90.00°
Last column: nearest neighbours and their distance in Å.
Space group Fm-3m (No. 225)
Unique sites:
Sr: 0.0000 0.0000 0.0000 [4 per cell]  24 B 3.09
Sn: 0.0000 0.0000 0.5000 [4 per cell]  24 B 3.09
B: 0.1014 0.2500 0.2500 [48 per cell]  5 B 1.70-1.77

***

First-principles (PBE-GGA) data for an optimized crystal structure of SrSnB3, as listed in the Alexandria database.

Total DFT energy (no corrections) (eV/atom): -3.66
Energy of formation (eV per atom): 1.48
E above lowest polymorph (eV per formula unit): 0.000

Cell: 4.5937 4.5937 4.5937 Å, 90.00 90.00 90.00°
Last column: nearest neighbours and their distance in Å.
Space group Pm-3m (No. 221)
Unique sites:
Sr: 0.0000 0.0000 0.0000 [1 per cell]  12 B 3.25
Sn: 0.5000 0.5000 0.5000 [1 per cell]  6 B 2.30
B: 0.0000 0.5000 0.5000 [3 per cell]  2 Sn 2.30

***

Number 1: total magnetic moment 0.20 μB per formula unit. Number 2: total magnetic moment 0.00 μB per formula unit. Number 3: total magnetic moment 0.00 μB per formula unit. Number 4: total magnetic moment 0.00 μB per formula unit. Number 5: total magnetic moment 0.00 μB per formula unit. Number 6: total magnetic moment 0.00 μB per formula unit. Number 7: total magnetic moment 0.00 μB per formula unit. Number 8: total magnetic moment 0.91 μB per formula unit. Number 9: total magnetic moment 0.00 μB per formula unit. Number 10: total magnetic moment 0.00 μB per formula unit. Number 11: total magnetic moment 0.00 μB per formula unit.